(1)
DFT (GGA-PBE) results for a geometry-optimized Zr2ZnIn structure.

```
data_Zr2ZnIn
_cell_length_a 6.1855
_cell_length_b 8.4944
_cell_length_c 3.1302
_cell_angle_alpha 90.00
_cell_angle_beta 90.00
_cell_angle_gamma 90.00
_symmetry_space_group_name_H-M 'C m m m'
_symmetry_Int_Tables_number 65
_symmetry_space_group_name_Hall '-C 2 2'
loop_
_atom_site_label
_atom_site_type_symbol
_atom_site_fract_x
_atom_site_fract_y
_atom_site_fract_z
Zr1 Zr 0.2500 0.2500 0.0000
Zn1 Zn 0.0000 0.0000 0.5000
In1 In 0.0000 0.5000 0.5000
```

Output
Total moment: 0.00 μB/cell

=====

(2)
DFT (GGA-PBE) results for a geometry-optimized CdSiPt3 structure.

```
data_CdSiPt3
_cell_length_a 5.6393
_cell_length_b 5.6925
_cell_length_c 6.9266
_cell_angle_alpha 84.99
_cell_angle_beta 66.05
_cell_angle_gamma 60.35
_symmetry_space_group_name_H-M 'P 1'
_symmetry_Int_Tables_number 1
_symmetry_space_group_name_Hall 'P 1'
loop_
_atom_site_label
_atom_site_type_symbol
_atom_site_fract_x
_atom_site_fract_y
_atom_site_fract_z
Cd1 Cd 0.0000 0.0000 0.0000
Cd2 Cd 0.4763 0.6547 0.3907
Si1 Si 0.3235 0.1950 0.1574
Si2 Si 0.9216 0.4696 0.6829
Pt1 Pt 0.0114 0.5004 0.9796
Pt2 Pt 0.4426 0.1646 0.4598
Pt3 Pt 0.5084 0.5006 0.9818
Pt4 Pt 0.6160 0.9589 0.8076
Pt5 Pt 0.9318 0.1640 0.4581
Pt6 Pt 0.9752 0.6763 0.3707
```

Output
Relative energy among the computed polymorphs: 0.0 meV per atom
Total moment: 0.00 μB/cell
Formation energy without anion corrections: -0.4732 eV per atom

=====

(3)
DFT (GGA-PBE) results for a geometry-optimized CeErAs2 structure.

```
data_CeErAs2
_cell_length_a 4.1535
_cell_length_b 4.1535
_cell_length_c 20.2844
_cell_angle_alpha 90.00
_cell_angle_beta 90.00
_cell_angle_gamma 120.00
_symmetry_space_group_name_H-M 'R -3 m'
_symmetry_Int_Tables_number 166
_symmetry_space_group_name_Hall '-R 3 2"'
loop_
_atom_site_label
_atom_site_type_symbol
_atom_site_fract_x
_atom_site_fract_y
_atom_site_fract_z
Ce1 Ce 0.0000 0.0000 0.0000
Er1 Er 0.0000 0.0000 0.5000
As1 As 0.0000 0.0000 0.2477
```

Output
Relative energy among the computed polymorphs: 0.0 meV per atom
Total moment: 1.95 μB/cell

=====

(4)
DFT (GGA-PBE) results for a geometry-optimized LaPrHoMg structure.

```
data_LaPrHoMg
_cell_length_a 3.7660
_cell_length_b 3.7660
_cell_length_c 9.0099
_cell_angle_alpha 90.00
_cell_angle_beta 90.00
_cell_angle_gamma 90.00
_symmetry_space_group_name_H-M 'P 4 m m'
_symmetry_Int_Tables_number 99
_symmetry_space_group_name_Hall 'P 4 -2'
loop_
_atom_site_label
_atom_site_type_symbol
_atom_site_fract_x
_atom_site_fract_y
_atom_site_fract_z
La1 La 0.0000 0.0000 0.0000
Pr1 Pr 0.5000 0.5000 0.7132
Ho1 Ho 0.5000 0.5000 0.2704
Mg1 Mg 0.0000 0.0000 0.4800
```

Output
Relative energy among the computed polymorphs: 0.0 meV per atom
Total moment: 0.00 μB/cell

=====

(5)
DFT (GGA-PBE) results for a geometry-optimized Co2P structure.

```
data_Co2P
_cell_length_a 8.7083
_cell_length_b 2.6713
_cell_length_c 6.2097
_cell_angle_alpha 90.00
_cell_angle_beta 115.95
_cell_angle_gamma 90.00
_symmetry_space_group_name_H-M 'C 1 2/m 1'
_symmetry_Int_Tables_number 12
_symmetry_space_group_name_Hall '-C 2y'
loop_
_atom_site_label
_atom_site_type_symbol
_atom_site_fract_x
_atom_site_fract_y
_atom_site_fract_z
Co1 Co 0.0910 0.0000 0.3788
Co2 Co 0.1395 0.5000 0.0307
P1 P 0.1640 0.5000 0.6986
```

Output
Total moment: 2.48 μB/cell

=====

(6)
DFT (GGA-PBE) results for a geometry-optimized Be3CdCl structure.

```
data_Be3CdCl
_cell_length_a 4.6195
_cell_length_b 4.6195
_cell_length_c 4.6195
_cell_angle_alpha 90.00
_cell_angle_beta 90.00
_cell_angle_gamma 90.00
_symmetry_space_group_name_H-M 'P m -3 m'
_symmetry_Int_Tables_number 221
_symmetry_space_group_name_Hall '-P 4 2 3'
loop_
_atom_site_label
_atom_site_type_symbol
_atom_site_fract_x
_atom_site_fract_y
_atom_site_fract_z
Be1 Be 0.0000 0.0000 0.5000
Cd1 Cd 0.0000 0.0000 0.0000
Cl1 Cl 0.5000 0.5000 0.5000
```

Output
Relative energy among the computed polymorphs: 0.0 meV per atom
Total moment: 0.00 μB/cell
Formation energy without anion corrections: 0.9804 eV per atom

=====

Final energy (eV/cell)
-44.302; -53.653; -77.040; -15.999; -81.658; -9.038
N(E_F) (states/eV per cell)
7.113; 3.010; 16.506; 4.833; 12.150; 5.340